1.
Compound: Er2HfV
Source: the Alexandria database
Functional: PBE
Structure: optimized geometry

a b c (Å): 5.1431 5.1431 5.1444
angles (deg): 60.01 60.01 60.00
With the nearest neighbours (Å) after each atom.
Positions (direct):
1 Er 0.2500 0.2500 0.2499  4 V 3.15, 4 Hf 3.15
2 Er 0.7500 0.7500 0.7501  4 V 3.15, 4 Hf 3.15
3 V 0.0000 0.0000 0.0000  8 Er 3.15
4 Hf 0.5000 0.5000 0.5000  8 Er 3.15

Theoretical density   9.73 g/cm³
E_tot   -6.65 eV/atom
Symmetry   Fm-3m (225)
Magnetization   2.198 μB per formula unit
Fermi-level density of states   6.9 states/eV/cell
ΔH_f (0 K)   0.398 eV per atom

---

2.
Compound: Ca5Ac4Pr2
Source: the Alexandria database
Functional: PBE
Structure: optimized geometry

a b c (Å): 3.7636 9.4548 15.5185
angles (deg): 120.79 96.96 90.00
With the nearest neighbours (Å) after each atom.
Positions (direct):
1 Ca 0.7244 0.6295 0.4488  7 Ca 3.76-4.00, 1 Pr 3.78, 3 Ac 3.86-3.91
2 Ca 0.1818 0.8974 0.3636  2 Ac 3.76-4.02, 7 Ca 3.76-4.07, 2 Pr 4.09
3 Ac 0.9588 0.2725 0.9175  4 Ac 3.70-4.00, 3 Ca 3.76-3.89, 4 Pr 3.80-3.85
4 Pr 0.5836 0.4641 0.1672  2 Pr 3.76, 4 Ca 3.77-4.09, 6 Ac 3.80-3.86
5 Ca 0.8182 0.1026 0.6364  2 Ac 3.76-4.02, 7 Ca 3.76-4.07, 2 Pr 4.09
6 Ca 0.2756 0.3705 0.5512  7 Ca 3.76-4.00, 1 Pr 3.78, 3 Ac 3.86-3.91
7 Ac 0.0412 0.7275 0.0825  4 Ac 3.70-4.00, 3 Ca 3.76-3.89, 4 Pr 3.80-3.85
8 Pr 0.4164 0.5359 0.8328  2 Pr 3.76, 4 Ca 3.77-4.09, 6 Ac 3.80-3.86
9 Ac 0.8672 0.7820 0.7345  3 Ac 3.76-4.00, 2 Pr 3.86, 6 Ca 3.86-4.02
10 Ca 0.5000 0.0000 0.0000  2 Ca 3.76, 2 Pr 3.77, 8 Ac 3.89-3.98
11 Ac 0.1328 0.2180 0.2655  3 Ac 3.76-4.00, 2 Pr 3.86, 6 Ca 3.86-4.02

Theoretical density   4.92 g/cm³
E_tot   -3.17 eV/atom
Symmetry   C2/m (12)
Magnetization   0.000 μB per formula unit
Fermi-level density of states   15.8 states/eV/cell
ΔH_f (0 K)   0.106 eV per atom

---

3.
Compound: TcGe3S
Source: the Alexandria database
Functional: PBE
Structure: optimized geometry

a b c (Å): 4.7854 4.7854 4.7854
angles (deg): 90.00 90.00 90.00
With the nearest neighbours (Å) after each atom.
Positions (direct):
1 Ge 0.0000 0.5000 0.0000  2 Tc 2.39
2 Tc 0.0000 0.0000 0.0000  6 Ge 2.39
3 S 0.5000 0.5000 0.5000  12 Ge 3.38
4 Ge 0.0000 0.0000 0.5000  2 Tc 2.39
5 Ge 0.5000 0.0000 0.0000  2 Tc 2.39

Theoretical density   5.27 g/cm³
E_tot   -5.40 eV/atom
Symmetry   Pm-3m (221)
Magnetization   0.000 μB per formula unit
Fermi-level density of states   6.0 states/eV/cell